Here is an optimized crystal structure of Ac2ZnAgSe5 from the Alexandria database. Energies are from PBE.

Calculated values
The space group is Cmc2_1 (36). The calculation puts the density of states at the Fermi level at 0.779 states/eV per atom. For the uncorrected formation energy, the calculation gives -1.238 eV/atom. For the total moment, the calculation gives 0.000 μB/cell.

Lattice parameters (Å, degrees): 4.3000 9.3370 12.1531 90.00 90.00 103.31
Sites, in units of the cell vectors:
Ac 0.8709 0.7418 0.8046
Ac 0.1149 0.2297 0.6918
Ac 0.1291 0.2582 0.3046
Ac 0.8851 0.7703 0.1918
Zn 0.5657 0.1313 0.9542
Zn 0.4343 0.8687 0.4542
Ag 0.7923 0.5847 0.5172
Ag 0.2077 0.4153 0.0172
Se 0.3602 0.7203 0.0020
Se 0.6947 0.3894 0.8559
Se 0.4994 0.9989 0.7766
Se 0.2858 0.5716 0.6676
Se 0.9499 0.8998 0.5540
Se 0.6398 0.2797 0.5020
Se 0.3053 0.6106 0.3559
Se 0.5006 0.0011 0.2766
Se 0.7142 0.4284 0.1676
Se 0.0501 0.1002 0.0540